[1]
! Li2VO3F (SCAN, single point on PBEsol structure); values from VASP
&SYSTEM
  ibrav = 0, nat = 28, ntyp = 4
/
ATOMIC_SPECIES
Li 6.94 Li.upf
V 50.94 V.upf
O 16.00 O.upf
F 19.00 F.upf
ATOMIC_POSITIONS angstrom
Li 0.0000 0.0000 0.0000
Li -2.3440 4.2837 1.3223
Li 2.0575 1.0601 1.4972
Li 2.0958 -1.4919 3.0252
Li 2.0123 3.5398 0.1942
Li -0.2401 2.7704 4.5824
Li 2.0551 -1.2116 5.7431
Li 2.0124 3.4494 3.0422
V -2.4299 -0.8151 4.5496
V -2.5397 2.0820 3.0049
V -0.0689 0.4041 2.9999
V 4.3742 -0.4913 1.4555
O -1.4474 0.9837 4.3135
O 0.8747 1.9060 0.0190
O -1.4889 3.3601 3.0787
O 0.7765 -0.5082 1.8256
O 0.8026 1.8085 3.0579
O 3.4299 0.2333 0.2933
O 3.1115 5.2462 0.4534
O 3.4621 0.1569 2.9630
O 3.3882 -2.1197 4.4834
O 3.3982 2.5879 1.7270
O 5.5366 -1.2764 3.1397
O 5.5468 0.9945 1.7786
F 0.8239 -0.4587 4.4651
F 1.0099 4.4329 1.6941
F 3.2412 2.5902 4.3395
F 3.3047 0.1816 5.7205
CELL_PARAMETERS angstrom
6.9826 0.0000 0.0000
-2.3938 6.5943 0.0000
-2.3204 -3.2051 5.7971
! Energy relative to the lowest polymorph listed for this composition ... 0.020 eV per atom
! Space group ... P1, No. 1
! DOS(E_F) ... 0.00 states/eV per cell



[2]
! Zr2Mn2Nb (SCAN, single point on PBEsol structure); values from VASP
&SYSTEM
  ibrav = 0, nat = 5, ntyp = 3
/
ATOMIC_SPECIES
Zr 91.22 Zr.upf
Mn 54.94 Mn.upf
Nb 92.91 Nb.upf
ATOMIC_POSITIONS angstrom
Zr 0.0000 0.0000 2.1590
Zr 0.0000 0.0000 16.0386
Mn 1.5384 0.0000 4.5494
Mn 0.0000 1.5384 4.5494
Nb 0.0000 0.0000 9.0988
CELL_PARAMETERS angstrom
-1.5384 1.5384 9.0988
1.5384 -1.5384 9.0988
1.5384 1.5384 -9.0988
! Formation energy ... 0.371 eV per atom
! Space group ... I4/mmm, No. 139
! DOS(E_F) ... 5.13 states/eV per cell



[3]
! LiAgAu2 (SCAN, single point on PBEsol structure); values from VASP
&SYSTEM
  ibrav = 0, nat = 4, ntyp = 3
/
ATOMIC_SPECIES
Li 6.94 Li.upf
Ag 107.87 Ag.upf
Au 196.97 Au.upf
ATOMIC_POSITIONS angstrom
Li 0.0000 0.0000 0.0000
Ag 4.2359 0.0000 2.4321
Au 1.7004 0.0000 3.6697
Au 6.7715 0.0000 1.1944
CELL_PARAMETERS angstrom
4.6611 -1.4232 0.0000
4.6611 1.4232 0.0000
-0.8503 0.0000 4.8641
! Energy relative to the lowest polymorph listed for this composition ... 0.087 eV per atom
! Formation energy ... -0.287 eV per atom
! Space group ... C2/m, No. 12
! DOS(E_F) ... 1.05 states/eV per cell



[4]
! Fe3Co5 (SCAN, single point on PBEsol structure); values from VASP
&SYSTEM
  ibrav = 0, nat = 8, ntyp = 2
/
ATOMIC_SPECIES
Fe 55.84 Fe.upf
Co 58.93 Co.upf
ATOMIC_POSITIONS angstrom
Fe 0.0000 0.0000 0.0000
Fe 1.3892 0.0000 1.9845
Fe 1.3892 0.0000 5.9176
Co 0.0000 0.0000 3.9511
Co 0.0000 1.9623 1.9862
Co 0.0000 1.9623 5.9160
Co 1.3892 1.9623 0.0000
Co 1.3892 1.9623 3.9511
CELL_PARAMETERS angstrom
2.7784 0.0000 0.0000
0.0000 3.9247 0.0000
0.0000 0.0000 7.9021
! Formation energy ... -0.114 eV per atom
! Space group ... Pmmm, No. 47
! DOS(E_F) ... 5.12 states/eV per cell